[1]
Here is a relaxed BaScSbP2 crystal from the Alexandria database. Energies are from PBE.

Properties
Formation energy from raw total energies ... 187 meV per atom
Fermi-level density of states ... 3.61 states/eV/f.u.

CIF file:
```
data_BaScSbP2
_space_group_name_H-M_alt 'P 4/m m m'
_space_group_IT_number 123
_space_group_name_Hall '-P 4 2'
_cell_length_a 5.436
_cell_length_b 5.436
_cell_length_c 5.206
_cell_angle_alpha 90.00
_cell_angle_beta 90.00
_cell_angle_gamma 90.00
loop_
_atom_site_label
_atom_site_type_symbol
_atom_site_fract_x
_atom_site_fract_y
_atom_site_fract_z
Ba1 Ba 0.000 0.000 0.000
Sc1 Sc 0.500 0.500 0.000
Sb1 Sb 0.500 0.500 0.500
P1 P 0.000 0.500 0.500
```



[2]
Here is a relaxed Tb12CeY3 crystal from the Alexandria database. Energies are from PBE.

Properties
E_form ... 0.03 eV/atom
Fermi-level density of states ... 23.29 states/eV/f.u.

CIF file:
```
data_Tb12CeY3
_space_group_name_H-M_alt 'P 4/m m m'
_space_group_IT_number 123
_space_group_name_Hall '-P 4 2'
_cell_length_a 5.039
_cell_length_b 5.039
_cell_length_c 20.141
_cell_angle_alpha 90.00
_cell_angle_beta 90.00
_cell_angle_gamma 90.00
loop_
_atom_site_label
_atom_site_type_symbol
_atom_site_fract_x
_atom_site_fract_y
_atom_site_fract_z
Tb1 Tb 0.000 0.000 0.000
Tb2 Tb 0.000 0.000 0.249
Tb3 Tb 0.000 0.000 0.500
Tb4 Tb 0.000 0.500 0.126
Tb5 Tb 0.000 0.500 0.377
Ce1 Ce 0.500 0.500 0.500
Y1 Y 0.500 0.500 0.000
Y2 Y 0.500 0.500 0.251
```



[3]
Here is a relaxed Mg4CdGa5 crystal from the Alexandria database. Energies are from PBE.

Properties
E_form ... -0.10 eV/atom
Fermi-level density of states ... 4.21 states/eV/f.u.

CIF file:
```
data_Mg4CdGa5
_space_group_name_H-M_alt 'P 4/m m m'
_space_group_IT_number 123
_space_group_name_Hall '-P 4 2'
_cell_length_a 3.057
_cell_length_b 3.057
_cell_length_c 20.786
_cell_angle_alpha 90.00
_cell_angle_beta 90.00
_cell_angle_gamma 90.00
loop_
_atom_site_label
_atom_site_type_symbol
_atom_site_fract_x
_atom_site_fract_y
_atom_site_fract_z
Mg1 Mg 0.000 0.000 0.099
Mg2 Mg 0.000 0.000 0.296
Cd1 Cd 0.000 0.000 0.500
Ga1 Ga 0.500 0.500 0.000
Ga2 Ga 0.500 0.500 0.197
Ga3 Ga 0.500 0.500 0.395
```